1.
TaReNi2: optimized geometry, PBE.

Unit cell a=4.2626 b=4.2626 c=4.2626 alpha=60.00 beta=60.00 gamma=60.00
Last column: nearest neighbours and their distance in Å.
Atoms (fractional coordinates):
1 Re 0.5000 0.5000 0.5000  8 Ni 2.61
2 Ni 0.2500 0.2500 0.2500  4 Ta 2.61, 4 Re 2.61
3 Ni 0.7500 0.7500 0.7500  4 Re 2.61, 4 Ta 2.61
4 Ta 0.0000 0.0000 0.0000  8 Ni 2.61

2.
TaRe2Ni: optimized geometry, PBE.

Unit cell a=4.3858 b=4.3858 c=4.3858 alpha=60.00 beta=60.00 gamma=60.00
Last column: nearest neighbours and their distance in Å.
Atoms (fractional coordinates):
1 Ni 0.5000 0.5000 0.5000  4 Re 2.69, 4 Ta 2.69
2 Re 0.0000 0.0000 0.0000  4 Ta 2.69, 4 Re 2.69
3 Re 0.7500 0.7500 0.7500  4 Re 2.69, 4 Ni 2.69
4 Ta 0.2500 0.2500 0.2500  4 Re 2.69, 4 Ni 2.69

Number 1: energy of formation from the pure elements 0.098 eV per atom, energy above the most stable polymorph in this dataset 250 meV/atom, magnetization 0.00 μB/f.u.. Number 2: energy of formation from the pure elements 0.022 eV per atom, energy above the most stable polymorph in this dataset 130 meV/atom, magnetization 0.00 μB/f.u..